1.
The following is a PBE calculation of crystalline KSb2Pd4 at its relaxed geometry, from Alexandria via LeMat-Bulk.

The structure in POSCAR format:
```
KSb2Pd4
1.0
-2.341 -2.680 -2.121
5.077 0.775 -6.582
4.656 -6.318 2.847
Pd K Sb
8 2 4
direct
0.000 0.082 0.343
0.000 0.343 0.082
0.000 0.918 0.657
0.500 0.843 0.418
0.000 0.657 0.918
0.500 0.157 0.582
0.500 0.582 0.157
0.500 0.418 0.843
0.500 0.000 0.000
0.000 0.500 0.500
0.000 0.224 0.776
0.500 0.276 0.276
0.500 0.724 0.724
0.000 0.776 0.224
```

Values from the calculation:
**E_form (uncorrected)**: -0.404 eV/atom
**N(E_F)**: 0.518 states/eV/atom
**Crystal system**: tetragonal
**Energy**: -4.71 eV/atom

---

2.
The following is a PBE calculation of crystalline NbH12N3O8 at its relaxed geometry, from Alexandria via LeMat-Bulk.

The structure in POSCAR format:
```
NbH12N3O8
1.0
-3.401 3.401 5.187
3.401 -3.401 5.187
3.401 3.401 -5.187
O H N Nb
8 12 3 1
direct
0.007 0.708 0.000
0.797 0.797 0.571
0.708 0.007 0.000
0.226 0.226 0.429
0.203 0.774 0.000
0.993 0.993 0.701
0.292 0.292 0.299
0.774 0.203 0.000
0.763 0.184 0.336
0.848 0.427 0.664
0.541 0.356 0.000
0.152 0.816 0.579
0.573 0.237 0.421
0.644 0.644 0.185
0.816 0.152 0.579
0.459 0.459 0.815
0.184 0.763 0.336
0.237 0.573 0.421
0.427 0.848 0.664
0.356 0.541 0.000
0.750 0.250 0.500
0.500 0.500 0.000
0.250 0.750 0.500
0.000 0.000 0.000
```

Values from the calculation:
**N(E_F)**: 0.000 states/eV/atom
**Crystal system**: tetragonal
**Energy**: -5.47 eV/atom